YPuP2 | the Open Quantum Materials Database | GGA-PBE | relaxed; space-group type = R-3m (166); crystal system = trigonal; total magnetization = 4.9 μB/cell; final energy = -37.2 eV for the cell shown
1.0
2.004 1.157 6.480
-2.004 1.157 6.480
0.000 -2.314 6.480
Y Pu P
1 1 2
Direct
0.000 0.000 0.000
0.500 0.500 0.500
0.248 0.248 0.248
0.752 0.752 0.752